Computed, not measured: TbErThZn after structural relaxation at the GGA-PBE level of DFT.

a b c (Å): 3.5539 3.5539 8.5462
angles (deg): 90.00 90.00 90.00
Atoms (fractional coordinates):
1 Tb 0.5000 0.5000 0.7825
2 Er 0.5000 0.5000 0.3612
3 Zn 0.0000 0.0000 0.5670
4 Th 0.0000 0.0000 0.0740

volume = 107.9 Å³ per cell
N(E_F) = 5.6 states/eV/f.u.
symmetry = P4mm, No. 99
energy of formation from the pure elements = -0.166 eV/atom
magnetization = 0.00 Bohr magnetons per cell



Computed, not measured: NdThAlCu after structural relaxation at the GGA-PBE level of DFT.

a b c (Å): 5.1891 5.1891 5.1891
angles (deg): 60.00 60.00 60.00
Atoms (fractional coordinates):
1 Nd 0.5000 0.5000 0.5000
2 Th 0.0000 0.0000 0.0000
3 Al 0.7500 0.7500 0.7500
4 Cu 0.2500 0.2500 0.2500

volume = 98.8 Å³ per cell
N(E_F) = 4.8 states/eV/f.u.
symmetry = F-43m, No. 216
energy of formation from the pure elements = -0.138 eV/atom
magnetization = 0.00 Bohr magnetons per cell



Computed, not measured: Ce2Al2SnRu5 after structural relaxation at the GGA-PBE level of DFT.

a b c (Å): 3.3992 10.1467 10.1467
angles (deg): 90.00 90.00 90.00
Atoms (fractional coordinates):
1 Ru 0.5000 0.0000 0.5000
2 Ru 0.5000 0.7063 0.4265
3 Al 0.0000 0.8764 0.3764
4 Al 0.0000 0.1236 0.6236
5 Ru 0.5000 0.4265 0.2937
6 Ce 0.0000 0.6744 0.1744
7 Ru 0.5000 0.2937 0.5735
8 Ru 0.5000 0.7937 0.9265
9 Al 0.0000 0.3764 0.1236
10 Al 0.0000 0.6236 0.8764
11 Sn 0.0000 0.0000 0.0000
12 Sn 0.0000 0.5000 0.5000
13 Ce 0.0000 0.8256 0.6744
14 Ru 0.5000 0.0735 0.7937
15 Ru 0.5000 0.5000 0.0000
16 Ru 0.5000 0.9265 0.2063
17 Ru 0.5000 0.2063 0.0735
18 Ru 0.5000 0.5735 0.7063
19 Ce 0.0000 0.1744 0.3256
20 Ce 0.0000 0.3256 0.8256

volume = 350.0 Å³ per cell
N(E_F) = 5.9 states/eV/f.u.
symmetry = P4/mbm, No. 127
energy of formation from the pure elements = -0.410 eV/atom
magnetization = 0.00 Bohr magnetons per cell



The highest N(E_F) belongs to which entry? Ce2Al2SnRu5